1.
A plane-wave DFT calculation with PBE was carried out for an optimized crystal structure of Zr3Sb.

## Properties
Fermi-level density of states = 1.050 states/eV per atom
ΔE_f (raw) = -0.4147 eV/atom

a b c (Å): 4.3404 4.3404 4.7051
angles (deg): 90.00 90.00 90.00
Last column: nearest neighbours and their distance in Å.
Space group P4/mmm (No. 123)
Inequivalent atoms, fractional coordinates:
Zr 0.0000 0.0000 0.0000  4 Sb 3.07, 8 Zr 3.20
Zr 0.0000 0.5000 0.5000  8 Zr 3.07-3.20, 4 Sb 3.20
Sb 0.5000 0.5000 0.0000  12 Zr 3.07-3.20

2.
A plane-wave DFT calculation with PBE was carried out for an optimized crystal structure of ZrSb3.

## Properties
Fermi-level density of states = 0.718 states/eV per atom
ΔE_f (raw) = -0.1083 eV/atom

a b c (Å): 4.0851 4.8771 10.6154
angles (deg): 90.00 90.00 90.00
Last column: nearest neighbours and their distance in Å.
Space group Cmmm (No. 65)
Inequivalent atoms, fractional coordinates:
Zr 0.0000 0.0000 0.0000  8 Sb 3.03-3.31, 4 Zr 3.18
Sb 0.0000 0.0000 0.5000  4 Sb 3.18
Sb 0.0000 0.5000 0.2108  4 Zr 3.03-3.31, 4 Sb 3.18

3.
A plane-wave DFT calculation with PBE was carried out for an optimized crystal structure of Zr3Sb.

## Properties
Fermi-level density of states = 0.970 states/eV per atom
ΔE_f (raw) = -0.1474 eV/atom

a b c (Å): 3.3519 3.3519 29.1483
angles (deg): 90.00 90.00 120.00
Last column: nearest neighbours and their distance in Å.
Space group R-3m (No. 166, hexagonal axes)
Inequivalent atoms, fractional coordinates:
Zr 0.0000 0.0000 0.0000  12 Zr 3.16-3.35
Zr 0.0000 0.0000 0.2476  3 Sb 3.05, 9 Zr 3.16-3.35
Sb 0.0000 0.0000 0.5000  6 Zr 3.05, 6 Sb 3.35

4.
A plane-wave DFT calculation with PBE was carried out for an optimized crystal structure of ZrSb.

## Properties
Fermi-level density of states = 0.547 states/eV per atom
ΔE_f (raw) = -0.1513 eV/atom

a b c (Å): 3.2703 3.2703 11.3873
angles (deg): 90.00 90.00 120.00
Last column: nearest neighbours and their distance in Å.
Space group P-3m1 (No. 164)
Inequivalent atoms, fractional coordinates:
Zr 0.3333 0.6667 0.1117  3 Sb 3.16, 9 Zr 3.17-3.27
Sb 0.3333 0.6667 0.6658  3 Zr 3.16, 6 Sb 3.27

no.,ρ (g/cm3)
1,7.4
2,7.2
3,6.9
4,6.7